A plane-wave DFT calculation with GGA-PBE was carried out for an optimized crystal structure of Mn2SbCl.

The structure in CIF format:
```
data_Mn2SbCl
_cell_length_a 5.0244
_cell_length_b 5.0244
_cell_length_c 3.0765
_cell_angle_alpha 90.00
_cell_angle_beta 90.00
_cell_angle_gamma 90.00
_symmetry_space_group_name_H-M 'P 4/m m m'
_symmetry_Int_Tables_number 123
_symmetry_space_group_name_Hall '-P 4 2'
loop_
_atom_site_label
_atom_site_fract_x
_atom_site_fract_y
_atom_site_fract_z
_atom_site_occupancy
Mn1 0.0000 0.5000 0.0000 1
Sb1 0.0000 0.0000 0.5000 1
Cl1 0.5000 0.5000 0.5000 1
```

Values from the calculation:
The calculation puts the excess energy over the best structure of this formula in the dataset at 223 meV per atom. As for the formation energy (no corrections): 0.17 eV per atom.

A plane-wave DFT calculation with GGA-PBE was carried out for an optimized crystal structure of Mn2Sb2Cl.

The structure in CIF format:
```
data_Mn2Sb2Cl
_cell_length_a 7.7904
_cell_length_b 7.7904
_cell_length_c 3.0570
_cell_angle_alpha 90.00
_cell_angle_beta 90.00
_cell_angle_gamma 90.00
_symmetry_space_group_name_H-M 'P 4/m b m'
_symmetry_Int_Tables_number 127
_symmetry_space_group_name_Hall '-P 4 2ab'
loop_
_atom_site_label
_atom_site_fract_x
_atom_site_fract_y
_atom_site_fract_z
_atom_site_occupancy
Mn1 0.1351 0.3649 0.0000 1
Sb1 0.1518 0.6518 0.5000 1
Cl1 0.0000 0.0000 0.5000 1
```

Values from the calculation:
The calculation puts the excess energy over the best structure of this formula in the dataset at 470 meV per atom. As for the formation energy (no corrections): 0.58 eV per atom.

A plane-wave DFT calculation with GGA-PBE was carried out for an optimized crystal structure of MnSbCl2.

The structure in CIF format:
```
data_MnSbCl2
_cell_length_a 7.0304
_cell_length_b 7.0304
_cell_length_c 7.0304
_cell_angle_alpha 90.00
_cell_angle_beta 90.00
_cell_angle_gamma 90.00
_symmetry_space_group_name_H-M 'F m -3 m'
_symmetry_Int_Tables_number 225
_symmetry_space_group_name_Hall '-F 4 2 3'
loop_
_atom_site_label
_atom_site_fract_x
_atom_site_fract_y
_atom_site_fract_z
_atom_site_occupancy
Mn1 0.0000 0.0000 0.0000 1
Sb1 0.0000 0.0000 0.5000 1
Cl1 0.2500 0.2500 0.2500 1
```

Values from the calculation:
The calculation puts the excess energy over the best structure of this formula in the dataset at 738 meV per atom. As for the formation energy (no corrections): 0.23 eV per atom.

A plane-wave DFT calculation with GGA-PBE was carried out for an optimized crystal structure of MnSbCl2.

The structure in CIF format:
```
data_MnSbCl2
_cell_length_a 3.4809
_cell_length_b 3.4809
_cell_length_c 36.0516
_cell_angle_alpha 90.00
_cell_angle_beta 90.00
_cell_angle_gamma 120.00
_symmetry_space_group_name_H-M 'R -3 m'
_symmetry_Int_Tables_number 166
_symmetry_space_group_name_Hall '-R 3 2"'
loop_
_atom_site_label
_atom_site_fract_x
_atom_site_fract_y
_atom_site_fract_z
_atom_site_occupancy
Mn1 0.0000 0.0000 0.0000 1
Sb1 0.0000 0.0000 0.5000 1
Cl1 0.0000 0.0000 0.2918 1
```

Values from the calculation:
The calculation puts the excess energy over the best structure of this formula in the dataset at 0 meV per atom. As for the formation energy (no corrections): -0.51 eV per atom.

A plane-wave DFT calculation with GGA-PBE was carried out for an optimized crystal structure of MnSbCl2.

The structure in CIF format:
```
data_MnSbCl2
_cell_length_a 3.6360
_cell_length_b 6.0248
_cell_length_c 9.2347
_cell_angle_alpha 90.00
_cell_angle_beta 90.00
_cell_angle_gamma 90.00
_symmetry_space_group_name_H-M 'C m m 2'
_symmetry_Int_Tables_number 35
loop_
_symmetry_equiv_pos_as_xyz
'x,y,z'
'-x,-y,z'
'-x,y,z'
'x,-y,z'
'x+1/2,y+1/2,z'
'-x+1/2,-y+1/2,z'
'-x+1/2,y+1/2,z'
'x+1/2,-y+1/2,z'
loop_
_atom_site_label
_atom_site_fract_x
_atom_site_fract_y
_atom_site_fract_z
_atom_site_occupancy
Mn1 0.0000 0.0000 0.0000 1
Sb1 0.0000 0.5000 0.2338 1
Cl1 0.0000 0.0000 0.4632 1
Cl2 0.0000 0.5000 0.8382 1
```

Values from the calculation:
The calculation puts the excess energy over the best structure of this formula in the dataset at 263 meV per atom. As for the formation energy (no corrections): -0.25 eV per atom.

A plane-wave DFT calculation with GGA-PBE was carried out for an optimized crystal structure of MnSbCl2.

The structure in CIF format:
```
data_MnSbCl2
_cell_length_a 7.0103
_cell_length_b 7.0103
_cell_length_c 7.0103
_cell_angle_alpha 90.00
_cell_angle_beta 90.00
_cell_angle_gamma 90.00
_symmetry_space_group_name_H-M 'F -4 3 m'
_symmetry_Int_Tables_number 216
_symmetry_space_group_name_Hall 'F -4 2 3'
loop_
_atom_site_label
_atom_site_fract_x
_atom_site_fract_y
_atom_site_fract_z
_atom_site_occupancy
Mn1 0.0000 0.0000 0.0000 1
Sb1 0.2500 0.2500 0.7500 1
Cl1 0.0000 0.0000 0.5000 1
Cl2 0.2500 0.2500 0.2500 1
```

Values from the calculation:
The calculation puts the excess energy over the best structure of this formula in the dataset at 698 meV per atom. As for the formation energy (no corrections): 0.19 eV per atom.